Entry 1:
# CaSnAs GGA-PBE relaxed
# Space-group type: P-62c (190)
# Formation energy: -1.60 eV/f.u.
# Electronic total energy: -73.51 eV/cell
data_CaSnAs
_cell_length_a 8.192
_cell_length_b 8.192
_cell_length_c 8.506
_cell_angle_alpha 90.00
_cell_angle_beta 90.00
_cell_angle_gamma 120.00
_space_group_name_H-M_alt 'P 1'
_space_group_IT_number 1
_space_group_name_Hall 'P 1'
loop_
_atom_site_label
_atom_site_type_symbol
_atom_site_fract_x
_atom_site_fract_y
_atom_site_fract_z
Ca1 Ca 0.000 0.266 0.000
Ca2 Ca 0.000 0.266 0.500
Ca3 Ca 0.266 0.000 0.000
Ca4 Ca 0.266 0.000 0.500
Ca5 Ca 0.734 0.734 0.000
Ca6 Ca 0.734 0.734 0.500
Sn1 Sn 0.080 0.616 0.250
Sn2 Sn 0.384 0.464 0.250
Sn3 Sn 0.464 0.384 0.750
Sn4 Sn 0.536 0.920 0.250
Sn5 Sn 0.616 0.080 0.750
Sn6 Sn 0.920 0.536 0.750
As1 As 0.000 0.000 0.250
As2 As 0.000 0.000 0.750
As3 As 0.333 0.667 0.516
As4 As 0.333 0.667 0.984
As5 As 0.667 0.333 0.016
As6 As 0.667 0.333 0.484



Entry 2:
# Ho2Er3Al4 GGA-PBE relaxed
# Space-group type: P-3m1 (164)
# Formation energy: -3.08 eV/f.u.
# Electronic total energy: -40.89 eV/cell
data_Ho2Er3Al4
_cell_length_a 5.074
_cell_length_b 5.074
_cell_length_c 9.653
_cell_angle_alpha 90.00
_cell_angle_beta 90.00
_cell_angle_gamma 120.00
_space_group_name_H-M_alt 'P 1'
_space_group_IT_number 1
_space_group_name_Hall 'P 1'
loop_
_atom_site_label
_atom_site_type_symbol
_atom_site_fract_x
_atom_site_fract_y
_atom_site_fract_z
Ho1 Ho 0.333 0.667 0.218
Ho2 Ho 0.667 0.333 0.782
Er1 Er 0.000 0.000 0.000
Er2 Er 0.333 0.667 0.580
Er3 Er 0.667 0.333 0.420
Al1 Al 0.000 0.000 0.351
Al2 Al 0.000 0.000 0.649
Al3 Al 0.333 0.667 0.901
Al4 Al 0.667 0.333 0.099



Q: Which value of electronic total energy does entry 2 give?
A: -40.89 eV/cell